Here is a relaxed KNb2MoOs crystal from Alexandria. Energies are from PBE.

Results
For the total energy, the calculation gives -7.34 eV per atom. Its total magnetization is 0.074 μB/atom. As for the crystal system: tetragonal. For the energy of formation from the pure elements, the calculation gives 1.32 eV per atom.

abc: 5.001 5.001 4.917
angles: 90.00 90.00 90.00
Space group P4/mmm (No. 123)
Symmetry-distinct sites (fractional):
K1 0.000 0.000 0.000 x1
Nb1 0.000 0.500 0.500 x2
Mo1 0.500 0.500 0.000 x1
Os1 0.500 0.500 0.500 x1

=====

Here is a relaxed K2NbMoOs crystal from Alexandria. Energies are from PBE.

Results
For the total energy, the calculation gives -4.59 eV per atom. Its total magnetization is 1.136 μB/atom. As for the crystal system: tetragonal. For the energy of formation from the pure elements, the calculation gives 2.27 eV per atom.

abc: 6.500 6.500 4.652
angles: 90.00 90.00 90.00
Space group P4/mmm (No. 123)
Symmetry-distinct sites (fractional):
K1 0.000 0.500 0.000 x2
Nb1 0.000 0.000 0.000 x1
Mo1 0.500 0.500 0.500 x1
Os1 0.000 0.000 0.500 x1

=====

Here is a relaxed KNbRe2Mo crystal from Alexandria. Energies are from PBE.

Results
For the total energy, the calculation gives -7.28 eV per atom. Its total magnetization is 0.295 μB/atom. As for the crystal system: tetragonal. For the energy of formation from the pure elements, the calculation gives 2.10 eV per atom.

abc: 4.935 4.935 4.947
angles: 90.00 90.00 90.00
Space group P4/mmm (No. 123)
Symmetry-distinct sites (fractional):
K1 0.000 0.000 0.000 x1
Nb1 0.500 0.500 0.500 x1
Re1 0.000 0.500 0.500 x2
Mo1 0.500 0.500 0.000 x1